{
  "formula": "Pm3PrEr5",
  "functional": "PBE-GGA",
  "state": "optimized geometry",
  "delta_e_f_ev_per_atom": 0.25,
  "final_energy_ev_per_cell": -79.15,
  "n_ef_per_ev_atom": 1.0657,
  "lattice": [[-4.3396, 4.3396, 7.7716], [4.3396, -4.3396, 7.7716], [4.3396, 4.3396, -7.7716]],
  "species": ["Pm", "Pm", "Pm", "Pm", "Pm", "Pm", "Pr", "Pr", "Er", "Er", "Er", "Er", "Er", "Er", "Er", "Er", "Er", "Er"],
  "frac_coords": [[0.1173, 0.6173, 0.7347], [0.2500, 0.2500, 0.0000], [0.3827, 0.1173, 0.5000], [0.6173, 0.8827, 0.5000], [0.7500, 0.7500, 0.0000], [0.8827, 0.3827, 0.2653], [0.2500, 0.7500, 0.5000], [0.7500, 0.2500, 0.5000], [0.0000, 0.0000, 0.0000], [0.0718, 0.1550, 0.5000], [0.1550, 0.6550, 0.0832], [0.3450, 0.4282, 0.5000], [0.4282, 0.9282, 0.0832], [0.5000, 0.5000, 0.0000], [0.5718, 0.0718, 0.9168], [0.6550, 0.5718, 0.5000], [0.8450, 0.3450, 0.9168], [0.9282, 0.8450, 0.5000]]
}

{
  "formula": "Pm5PrEr4",
  "functional": "PBE-GGA",
  "state": "optimized geometry",
  "de_polymorph_mev_per_atom": 119.6,
  "delta_e_f_ev_per_atom": 0.16,
  "final_energy_ev_per_cell": -45.21,
  "n_ef_per_ev_atom": 1.5791,
  "lattice": [[9.0777, -1.7912, 0.0000], [9.0777, 1.7912, 0.0000], [-1.1691, 0.0000, 10.4693]],
  "species": ["Pm", "Pm", "Pm", "Pm", "Pm", "Pr", "Er", "Er", "Er", "Er"],
  "frac_coords": [[0.0000, 0.0000, 0.0000], [0.3109, 0.3109, 0.9045], [0.3575, 0.3575, 0.2676], [0.6425, 0.6425, 0.7324], [0.6891, 0.6891, 0.0955], [0.0000, 0.0000, 0.5000], [0.1835, 0.1835, 0.4102], [0.4538, 0.4538, 0.7402], [0.5462, 0.5462, 0.2598], [0.8165, 0.8165, 0.5898]]
}